Record 1
Pr4Er3In: relaxed, GGA-PBE.

a b c (Å): 7.0495 7.1351 10.1612
angles (deg): 90.00 90.00 90.00
Sites, in units of the cell vectors:
Pr  0.9992  0.8108  0.0000
Pr  0.5001  0.3105  0.0000
Pr  0.7529  0.0606  0.7496
Pr  0.2471  0.5606  0.7504
Pr  0.4999  0.8105  0.5000
Pr  0.0008  0.3108  0.5000
Pr  0.2471  0.5606  0.2496
Pr  0.7529  0.0606  0.2504
In  0.4995  0.8106  0.0000
In  0.5005  0.3106  0.5000
Er  0.9998  0.3105  0.0000
Er  0.2591  0.0606  0.7501
Er  0.7409  0.5606  0.7499
Er  0.0002  0.8105  0.5000
Er  0.7409  0.5606  0.2501
Er  0.2591  0.0606  0.2499

Calculated values
The total moment comes out at 0.00 μB/f.u. For the formation enthalpy at 0 K, the calculation gives -79 meV per atom. As for the space-group type: No. 31.



Record 2
Mo2Ir3: relaxed, GGA-PBE.

a b c (Å): 8.1835 7.0923 5.3121
angles (deg): 81.18 58.92 39.90
Sites, in units of the cell vectors:
Mo  0.3687  0.5330  0.1992
Mo  0.8991  0.1992  0.5330
Mo  0.7170  0.8813  0.3509
Mo  0.0508  0.3509  0.8813
Ir  0.3449  0.4539  0.7387
Ir  0.4624  0.7387  0.4539
Ir  0.7961  0.9051  0.7876
Ir  0.5113  0.7876  0.9051
Ir  0.9248  0.0752  0.0752
Ir  0.1748  0.3252  0.3252

Calculated values
The total moment comes out at 0.00 μB/f.u. For the formation enthalpy at 0 K, the calculation gives -150 meV per atom. As for the space-group type: No. 43. The value obtained for the excess energy over the best structure of this formula in the dataset is 0.0 meV/atom.



Record 3
TcRhCl: relaxed, GGA-PBE.

a b c (Å): 4.0465 4.0465 3.1154
angles (deg): 90.00 90.00 120.00
Sites, in units of the cell vectors:
Cl  0.0000  0.0000  0.9323
Rh  0.6667  0.3333  0.3025
Tc  0.3333  0.6667  0.7652

Calculated values
The total moment comes out at 0.00 μB/f.u. As for the uncorrected formation energy: 563 meV per atom. As for the space-group type: No. 156. The value obtained for the excess energy over the best structure of this formula in the dataset is 375.1 meV/atom.



Record 4
CoCuTe2: relaxed, GGA-PBE.

a b c (Å): 3.7933 6.6448 5.4251
angles (deg): 34.79 90.00 90.00
Site moments in Bohr magnetons follow the coordinates.
Sites, in units of the cell vectors:
Co  0.5000  0.5000  0.5000  0.89
Cu  0.0000  0.0000  0.5000  0.01
Te  0.0000  0.0000  0.0000  0.01
Te  0.5000  0.5000  0.0000  0.02

Calculated values
The total moment comes out at 0.97 μB/f.u. As for the uncorrected formation energy: 145 meV per atom. As for the space-group type: No. 10. The value obtained for the excess energy over the best structure of this formula in the dataset is 104.2 meV/atom.



Record 5
ScMnSi: relaxed, GGA-PBE.

a b c (Å): 4.3111 4.3111 4.3111
angles (deg): 60.00 60.00 60.00
Site moments in Bohr magnetons follow the coordinates.
Sites, in units of the cell vectors:
Mn  0.0000  0.0000  0.0000  3.57
Sc  0.5000  0.5000  0.5000  -0.04
Si  0.7500  0.7500  0.7500  -0.04

Calculated values
The total moment comes out at 3.74 μB/f.u. As for the uncorrected formation energy: -210 meV per atom. As for the space-group type: No. 216.



Record 6
TbSmErSn: relaxed, GGA-PBE.

a b c (Å): 5.4310 5.4310 5.4310
angles (deg): 60.00 60.00 60.00
Sites, in units of the cell vectors:
Tb  0.7500  0.7500  0.7500
Sn  0.2500  0.2500  0.2500
Sm  0.5000  0.5000  0.5000
Er  0.0000  0.0000  0.0000

Calculated values
The total moment comes out at 0.00 μB/f.u. For the formation enthalpy at 0 K, the calculation gives -230 meV per atom. As for the space-group type: No. 216.



Record 7
PuAuN: relaxed, GGA-PBE.

a b c (Å): 3.1464 3.1464 6.0706
angles (deg): 105.02 105.02 90.00
Site moments in Bohr magnetons follow the coordinates.
Sites, in units of the cell vectors:
Pu  0.7215  0.7215  0.4431  4.57
Au  0.0102  0.0102  0.0205  -0.03
N  0.2682  0.2682  0.5365  -0.30

Calculated values
The total moment comes out at 4.29 μB/f.u. As for the uncorrected formation energy: -447 meV per atom. As for the space-group type: No. 107. The value obtained for the excess energy over the best structure of this formula in the dataset is 411.3 meV/atom.



Record 8
Sr2CaP2N6: relaxed, GGA-PBE.

a b c (Å): 5.7496 5.7496 7.0799
angles (deg): 66.04 66.04 60.00
Sites, in units of the cell vectors:
Sr  0.7999  0.7999  0.6002
Sr  0.2001  0.2001  0.3998
Ca  0.0000  0.0000  0.0000
P  0.4216  0.4216  0.7351
P  0.5784  0.5784  0.2649
N  0.7347  0.7347  0.2694
N  0.2611  0.7347  0.2694
N  0.7347  0.2611  0.2694
N  0.2653  0.7389  0.7306
N  0.7389  0.2653  0.7306
N  0.2653  0.2653  0.7306

Calculated values
The total moment comes out at 0.00 μB/f.u. As for the uncorrected formation energy: -599 meV per atom. As for the space-group type: No. 166.